Material: CeLu2Ge
Method: DFT, PBE
State: optimized geometry

Values from the calculation:
* calculated total energy: -5.205 eV per atom
* total magnetic moment: 0.000 μB/atom
* offset from the most stable computed form: 0.000 eV per atom
* ΔH_f (0 K): -0.307 eV per atom

abc: 4.655 4.655 4.467
angles: 90.00 90.00 90.00
Space group P4/mmm (No. 123)
One atom of each set of equivalent atoms:
Ce 0.000 0.000 0.000 [1 per cell]
Lu 0.000 0.500 0.500 [2 per cell]
Ge 0.500 0.500 0.000 [1 per cell]